Entry from Alexandria: Zr6In3Ge after structural relaxation (PBE).

Cell: 5.5078 8.1326 11.6626 Å, 90.00 117.72 90.00°
With the nearest neighbours (Å) after each atom.
Space group P2_1/c (No. 14)
Inequivalent atoms, fractional coordinates:
Zr (0.0184, 0.1787, 0.0725)  1 Ge 2.73, 2 In 2.96-3.04
Zr (0.3513, 0.1577, 0.4275)  1 Ge 2.76, 3 In 2.91-3.06, 1 Zr 3.09
Zr (0.3822, 0.5255, 0.2386)  1 Ge 2.60, 2 In 2.81-2.91
In (0.1299, 0.6359, 0.7428)  7 Zr 2.91-3.21
In (0.5000, 0.0000, 0.0000)  6 Zr 2.81-2.96
Ge (0.0000, 0.0000, 0.5000)  6 Zr 2.60-2.76

Summary:
Calculated total energy: -131.78 eV/cell
Formation energy: -0.18 eV/atom


Entry from Alexandria: Dy8Y5Sc after structural relaxation (PBE).

Cell: 8.4315 8.4338 8.5512 Å, 114.87 118.58 95.00°
With the nearest neighbours (Å) after each atom.
Space group P1 (No. 1)
Inequivalent atoms, fractional coordinates:
Dy (0.0000, 0.0000, 0.0000)  1 Sc 3.36, 4 Dy 3.44-3.51
Dy (0.0074, 0.4531, 0.1134)  4 Y 3.24-3.62, 1 Sc 3.28, 2 Dy 3.43-3.51
Dy (0.1975, 0.3667, 0.5689)  1 Sc 3.37, 3 Dy 3.40-3.77, 4 Y 3.42-3.71
Dy (0.2898, 0.8676, 0.7736)  1 Sc 3.15, 3 Y 3.15-3.42, 3 Dy 3.19-3.33
Dy (0.3264, 0.7744, 0.1161)  3 Dy 3.23-3.47, 1 Sc 3.27, 2 Y 3.52-3.56
Dy (0.4884, 0.6916, 0.5152)  3 Dy 3.33-3.43, 4 Y 3.33-3.44, 1 Sc 3.60
Dy (0.7172, 0.1284, 0.1853)  4 Dy 3.19-3.46, 5 Y 3.20-3.54
Dy (0.8688, 0.0361, 0.5719)  1 Sc 3.36, 2 Dy 3.39-3.44, 4 Y 3.42-3.69
Y (0.3675, 0.3350, 0.0389)  4 Y 3.41-3.81, 8 Dy 3.42-3.79
Y (0.5367, 0.2782, 0.4674)  2 Y 3.16-3.51, 3 Dy 3.32-3.42
Y (0.5698, 0.1483, 0.7747)  2 Y 3.16-3.41, 1 Sc 3.16, 4 Dy 3.19-3.33
Y (0.6639, 0.6634, 0.9979)  1 Sc 3.36, 4 Dy 3.44-3.52, 1 Y 3.76
Y (0.8536, 0.5937, 0.4640)  4 Dy 3.15-3.43, 1 Y 3.51
Sc (0.1360, 0.9098, 0.3827)  6 Dy 3.15-3.37, 2 Y 3.16-3.36

Summary:
Calculated total energy: -73.34 eV/cell
Formation energy: 0.15 eV/atom


Entry from Alexandria: Ba2Ga6PdRh after structural relaxation (PBE).

Cell: 6.6544 6.6654 7.0968 Å, 62.19 62.11 60.19°
With the nearest neighbours (Å) after each atom.
Space group P-1 (No. 2)
Inequivalent atoms, fractional coordinates:
Ba (0.2081, 0.2062, 0.3751)  12 Ga 3.54-3.61, 1 Rh 3.73, 3 Pd 3.92
Ga (0.2499, 0.2503, 0.8427)  1 Rh 2.47, 1 Pd 2.58, 2 Ga 2.71
Ga (0.2497, 0.6569, 0.8439)  1 Rh 2.47, 1 Pd 2.58, 2 Ga 2.71-2.72
Ga (0.3424, 0.7495, 0.1572)  1 Rh 2.47, 1 Pd 2.58, 2 Ga 2.71-2.72
Pd (0.5000, 0.5000, 0.5000)  6 Ga 2.58
Rh (0.0000, 0.0000, 0.0000)  6 Ga 2.47

Summary:
Calculated total energy: -39.94 eV/cell
Formation energy: -0.54 eV/atom


Entry from Alexandria: LaRu2W after structural relaxation (PBE).

Cell: 4.2287 4.2287 16.2692 Å, 90.00 90.00 120.00°
With the nearest neighbours (Å) after each atom.
Space group R-3m (No. 166, hexagonal axes)
Inequivalent atoms, fractional coordinates:
La (0.0000, 0.0000, 0.0000)  8 Ru 3.14-3.44
Ru (0.0000, 0.0000, 0.2115)  3 W 2.55, 3 Ru 2.84
W (0.0000, 0.0000, 0.5000)  6 Ru 2.55

Summary:
Calculated total energy: -107.98 eV/cell
Formation energy: 0.11 eV/atom


Entry from Alexandria: Sr3BiN3 after structural relaxation (PBE).

Cell: 8.2095 8.2095 5.3269 Å, 90.00 90.00 120.00°
With the nearest neighbours (Å) after each atom.
Space group P6_3/m (No. 176)
Inequivalent atoms, fractional coordinates:
Sr (0.0878, 0.3479, 0.2500)  4 N 2.62-2.67
Bi (0.3333, 0.6667, 0.7500)  3 N 2.29
N (0.0903, 0.3625, 0.7500)  1 Bi 2.29

Summary:
ΔE_f (raw): -0.261 eV per atom
Calculated total energy: -71.46 eV/cell


Entry from Alexandria: CaFeC3 after structural relaxation (PBE).

Cell: 4.2397 4.2397 4.2397 Å, 90.00 90.00 90.00°
With the nearest neighbours (Å) after each atom.
Space group Pm-3m (No. 221)
Inequivalent atoms, fractional coordinates:
Ca (0.0000, 0.0000, 0.0000)  6 C 2.12
Fe (0.5000, 0.5000, 0.5000)  12 C 3.00
C (0.0000, 0.0000, 0.5000)  2 Ca 2.12

Summary:
Calculated total energy: -19.01 eV/cell
Formation energy: 3.83 eV/atom


Entry from Alexandria: LaAlC after structural relaxation (PBE).

Cell: 9.3076 4.8595 5.3966 Å, 90.00 90.00 90.00°
With the nearest neighbours (Å) after each atom.
Space group Pnma (No. 62)
Inequivalent atoms, fractional coordinates:
La (0.1565, 0.2500, 0.0198)  4 C 2.66-2.83
Al (0.0000, 0.0000, 0.5000)  2 C 2.04
C (0.0881, 0.7500, 0.2366)  2 Al 2.04

Summary:
Calculated total energy: -71.04 eV/cell
Formation energy: 0.04 eV/atom


Entry from Alexandria: ThTeCl after structural relaxation (PBE).

Cell: 7.8878 3.8742 12.3347 Å, 90.00 90.00 90.00°
With the nearest neighbours (Å) after each atom.
Space group Pnma (No. 62)
Inequivalent atoms, fractional coordinates:
Th (0.1522, 0.2500, 0.1473)  3 Cl 2.90-2.98, 4 Te 3.14-3.19
Te (0.0341, 0.2500, 0.6916)  4 Th 3.14-3.19
Cl (0.1707, 0.7500, 0.9645)  3 Th 2.90-2.98

Summary:
ΔE_f (raw): -1.431 eV per atom
Calculated total energy: -66.81 eV/cell


Entry from Alexandria: CaIn2Au after structural relaxation (PBE).

Cell: 3.7939 4.8121 5.7236 Å, 90.00 102.14 90.00°
With the nearest neighbours (Å) after each atom.
Space group P2/m (No. 10)
Inequivalent atoms, fractional coordinates:
Ca (0.0000, 0.0000, 0.0000)  2 Au 3.08, 4 In 3.30
In (0.3509, 0.5000, 0.7266)  2 Au 2.85, 2 In 3.04-3.10
Au (0.5000, 0.0000, 0.5000)  4 In 2.85, 2 Ca 3.08

Summary:
Calculated total energy: -12.31 eV/cell
Formation energy: -0.39 eV/atom


Entry from Alexandria: Ca4Al8Fe after structural relaxation (PBE).

Cell: 7.9826 7.9826 10.2157 Å, 90.00 90.00 90.00°
With the nearest neighbours (Å) after each atom.
Space group I4/mmm (No. 139)
Inequivalent atoms, fractional coordinates:
Ca (0.2500, 0.2500, 0.2500)  8 Al 3.25-3.27
Al (0.0000, 0.2285, 0.0000)  4 Al 2.58-2.67
Al (0.0000, 0.3052, 0.5000)  1 Fe 2.44, 2 Al 2.67
Fe (0.0000, 0.0000, 0.5000)  4 Al 2.44

Summary:
Calculated total energy: -91.13 eV/cell
Formation energy: 0.06 eV/atom


Entry from Alexandria: Pu2H8Ru after structural relaxation (PBE).

Cell: 3.6813 4.5447 10.9653 Å, 90.00 90.00 90.00°
With the nearest neighbours (Å) after each atom.
Space group Immm (No. 71)
Inequivalent atoms, fractional coordinates:
Pu (0.0000, 0.0000, 0.1647)  10 H 2.20-2.37
H (0.0000, 0.2257, 0.3718)  1 Ru 1.74
H (0.0000, 0.3113, 0.0000)  1 H 1.72
H (0.0000, 0.5000, 0.2256)  2 H 2.03, 2 Pu 2.20
Ru (0.0000, 0.0000, 0.5000)  4 H 1.74

Summary:
Calculated total energy: -134.15 eV/cell


Entry from Alexandria: TbIn3Ag8 after structural relaxation (PBE).

Cell: 5.5786 5.5786 9.2460 Å, 90.00 90.00 120.00°
With the nearest neighbours (Å) after each atom.
Space group P3m1 (No. 156)
Inequivalent atoms, fractional coordinates:
Tb (0.0000, 0.0000, 0.0000)  12 Ag 3.26-3.34, 4 In 3.39-3.42
In (0.0000, 0.0000, 0.3668)  12 Ag 3.26-3.32, 1 Tb 3.39, 3 In 3.45
In (0.6667, 0.3333, 0.4995)  12 Ag 3.26-3.33, 4 In 3.45-3.47
In (0.6667, 0.3333, 0.8749)  12 Ag 3.26-3.31, 3 Tb 3.42, 1 In 3.47
Ag (0.1638, 0.3277, 0.6821)  6 Ag 2.74-2.84
Ag (0.3333, 0.6667, 0.4328)  6 Ag 2.83
Ag (0.3333, 0.6667, 0.9303)  6 Ag 2.82-2.85
Ag (0.5023, 0.0047, 0.1834)  6 Ag 2.75-2.85

Summary:
Calculated total energy: -36.63 eV/cell
Formation energy: -0.08 eV/atom


| no. | Fermi-level density of states (states/eV/f.u.) |
| --- | --- |
| 1 | 8.03 |
| 2 | 17.63 |
| 3 | 4.33 |
| 4 | 4.41 |
| 5 | 2.66 |
| 6 | 7.51 |
| 7 | 1.87 |
| 8 | 1.21 |
| 9 | 1.89 |
| 10 | 8.17 |
| 11 | 18.86 |
| 12 | 2.82 |